K3CaPu2O6 | PBE | optimized geometry

Computed properties:
Uncorrected formation energy = -2458 meV per atom
V = 16.90 A^3/atom

a = 6.126 Å, b = 10.609 Å, c = 6.566 Å
α = 90.00°, β = 108.13°, γ = 90.00°
Space group C2/m (No. 12)
Symmetry-distinct sites (fractional):
1 K 0.000 0.000 0.000 x2
2 K 0.000 0.337 0.000 x4
3 Ca 0.000 0.500 0.500 x2
4 Pu 0.000 0.167 0.500 x4
5 O 0.214 0.000 0.687 x4
6 O 0.237 0.326 0.687 x8



KCaPuO3 | PBE | optimized geometry

Computed properties:
Uncorrected formation energy = -2461 meV per atom
V = 16.87 A^3/atom

a = 6.108 Å, b = 3.629 Å, c = 9.319 Å
α = 90.00°, β = 101.47°, γ = 90.00°
Space group P2_1/m (No. 11)
Symmetry-distinct sites (fractional):
1 K 0.138 0.250 0.172 x2
2 Ca 0.375 0.250 0.862 x2
3 Pu 0.260 0.750 0.535 x2
4 O 0.063 0.250 0.631 x2
5 O 0.286 0.750 0.976 x2
6 O 0.480 0.750 0.367 x2



K2CaPuO4 | PBE | optimized geometry

Computed properties:
Uncorrected formation energy = -2447 meV per atom
V = 16.69 A^3/atom

a = 6.046 Å, b = 3.544 Å, c = 6.545 Å
α = 90.00°, β = 107.86°, γ = 90.00°
Space group P2/m (No. 10)
Symmetry-distinct sites (fractional):
1 K 0.000 0.000 0.000 x1
2 K 0.500 0.500 0.000 x1
3 Ca 0.000 0.500 0.500 x1
4 Pu 0.500 0.000 0.500 x1
5 O 0.255 0.000 0.684 x2
6 O 0.284 0.500 0.310 x2